1.
Li3MgPa3Te8 | PBE | relaxed

Structure (POSCAR):
```
Li3MgPa3Te8
1.0
-5.2214 6.2066 2.6701
-1.5803 -8.1181 2.1263
6.7544 4.1259 3.6176
Li Te Mg Pa
3 8 1 3
Direct
0.5000 0.5000 0.0000
0.0000 0.5000 0.0000
0.0000 0.0000 0.0000
0.2478 0.0047 0.7524
0.2479 0.4958 0.7525
0.2452 0.4904 0.2356
0.2430 0.9953 0.2476
0.7548 0.5096 0.7644
0.7521 0.5042 0.2475
0.7570 0.0047 0.7524
0.7522 0.9953 0.2476
0.0000 0.0000 0.5000
0.5000 0.5000 0.5000
0.5000 0.0000 0.5000
0.0000 0.5000 0.5000
```

* raw formation energy: -0.844 eV/atom
* M_tot: 0.27 μB per atom
* DOS(E_F): 18.5 states/eV/f.u.



2.
ReAs | PBE | relaxed

Structure (POSCAR):
```
ReAs
1.0
3.8319 0.0000 0.0000
-1.9160 3.3185 0.0000
0.0000 0.0000 5.2564
Re As
2 2
Direct
0.3333 0.6667 0.2500
0.6667 0.3333 0.7500
0.0000 0.0000 0.0000
0.0000 0.0000 0.5000
```

* distance to the lowest polymorph of the same formula: 0.852 eV per atom
* M_tot: 0.00 μB per atom
* DOS(E_F): 0.8 states/eV/f.u.
* formation energy: 0.9274 eV/atom



3.
KH6Br2O2 | PBE | relaxed

Structure (POSCAR):
```
KH6Br2O2
1.0
-2.0464 4.0207 -2.0964
-3.0703 -0.6910 -4.1134
-6.4389 1.0037 8.1432
K H O Br
1 6 2 2
Direct
0.5000 0.0000 0.5000
0.5468 0.5717 0.1887
0.1294 0.7391 0.7992
0.1151 0.4260 0.8108
0.8706 0.2609 0.2008
0.8849 0.5740 0.1892
0.4532 0.4283 0.8113
0.7528 0.4973 0.2273
0.2472 0.5027 0.7727
0.1147 0.7794 0.1357
0.8853 0.2206 0.8643
```

* M_tot: 0.00 μB per atom
* DOS(E_F): 1.3 states/eV/f.u.
* electronic total energy: -3.8214 eV/atom



4.
Np2OsPt | PBE | relaxed

Structure (POSCAR):
```
Np2OsPt
1.0
-0.6520 0.4486 2.7176
-2.7011 -0.0917 0.8411
-0.1532 -10.3368 3.1434
Np Os Pt
2 1 1
Direct
0.0890 0.0890 0.7329
0.9110 0.9110 0.2671
0.5000 0.5000 0.5000
0.0000 0.0000 0.0000
```

* distance to the lowest polymorph of the same formula: 0.340 eV per atom
* M_tot: 1.62 μB per atom
* DOS(E_F): 6.1 states/eV/f.u.
* formation energy: 0.2050 eV/atom



5.
PaCrH5 | PBE | relaxed

Structure (POSCAR):
```
PaCrH5
1.0
0.1263 -2.2095 -3.7524
3.1967 -2.9297 -0.4202
-2.1454 -7.0011 0.4638
H Pa Cr
10 2 2
Direct
0.9998 0.0002 0.7500
0.1009 0.5523 0.0866
0.4477 0.8991 0.4134
0.1007 0.5523 0.5867
0.8991 0.4477 0.9134
0.4477 0.8993 0.9133
0.0002 0.9998 0.2500
0.5523 0.1009 0.5866
0.5523 0.1007 0.0867
0.8993 0.4477 0.4133
0.4999 0.5001 0.7500
0.5001 0.4999 0.2500
0.0000 0.0000 0.0000
0.0000 0.0000 0.5000
```

* M_tot: 0.00 μB per atom
* DOS(E_F): 2.5 states/eV/f.u.
* electronic total energy: -5.3305 eV/atom



6.
Ac2NpScS6 | PBE | relaxed

Structure (POSCAR):
```
Ac2NpScS6
1.0
-4.6824 -0.3738 5.4971
-3.9624 -4.5327 -3.6834
7.0756 -1.4234 0.9020
S Ac Np Sc
6 2 1 1
Direct
0.8099 0.3150 0.1365
0.1901 0.1784 0.8635
0.1901 0.6850 0.8635
0.3757 0.7588 0.5176
0.6243 0.2412 0.4824
0.8099 0.8216 0.1365
0.7730 0.7454 0.4909
0.2270 0.2546 0.5091
0.0000 0.5000 0.0000
0.5000 0.0000 0.0000
```

* raw formation energy: -1.834 eV/atom
* M_tot: 0.40 μB per atom
* DOS(E_F): 10.7 states/eV/f.u.



7.
Pa3Ga2Tc4 | PBE | relaxed

Structure (POSCAR):
```
Pa3Ga2Tc4
1.0
4.5276 0.0000 0.0000
-2.2638 4.4750 0.0919
0.0000 -0.3039 8.8969
Pa Tc Ga
3 4 2
Direct
0.3717 0.7435 0.5967
0.6283 0.2565 0.4033
0.0000 0.0000 0.0000
0.9014 0.8029 0.3584
0.2561 0.5121 0.9183
0.7439 0.4879 0.0817
0.0986 0.1971 0.6416
0.6790 0.3580 0.7768
0.3210 0.6420 0.2232
```

* M_tot: 0.00 μB per atom
* DOS(E_F): 8.8 states/eV/f.u.
* formation energy: -0.2960 eV/atom



8.
ScMn2Mo | PBE | relaxed

Structure (POSCAR):
```
ScMn2Mo
1.0
3.0357 0.0000 0.0000
0.0000 3.0357 0.0000
0.0000 0.0000 6.2565
Mo Mn Sc
1 2 1
Direct
0.5000 0.5000 0.2500
0.0000 0.0000 0.4742
0.0000 0.0000 0.0258
0.5000 0.5000 0.7500
```

* M_tot: 0.15 μB per atom
* DOS(E_F): 2.9 states/eV/f.u.
* formation energy: 0.0188 eV/atom